Crystalline CuAg4 at its relaxed geometry. Source: OQMD, functional PBE.

Energy relative to the lowest polymorph listed for this composition, meV/atom: 15
Final energy, eV/atom: -2.9632
DFT formation energy, eV per atom: 0.04

Cell lengths 10.2059, 10.2059, 10.2059 Å; angles 163.69, 163.69, 23.15 degrees
With the nearest neighbours (Å) after each atom.
Positions (direct):
Ag (0.8027, 0.8027, 0.0000)  12 Ag 2.90-2.96
Ag (0.1973, 0.1973, 0.0000)  12 Ag 2.90-2.96
Ag (0.4093, 0.4093, 0.0000)  4 Cu 2.74, 8 Ag 2.90-2.96
Ag (0.5907, 0.5907, 0.0000)  4 Cu 2.74, 8 Ag 2.90-2.96
Cu (0.0000, 0.0000, 0.0000)  8 Ag 2.74, 4 Cu 2.90

***

Crystalline HoU at its relaxed geometry. Source: OQMD, functional PBE.

Energy relative to the lowest polymorph listed for this composition, meV/atom: 0
Final energy, eV/atom: -7.5023
DFT formation energy, eV per atom: 0.43

Cell lengths 3.1786, 3.1786, 11.5299 Å; angles 90.00, 90.00, 120.00 degrees
With the nearest neighbours (Å) after each atom.
Positions (direct):
Ho (0.0000, 0.0000, 0.5000)  6 Ho 3.18, 6 U 3.42
Ho (0.0000, 0.0000, 0.0000)  6 Ho 3.18, 6 U 3.42
U (0.6667, 0.3333, 0.2500)  6 U 3.18, 6 Ho 3.42
U (0.3333, 0.6667, 0.7500)  6 U 3.18, 6 Ho 3.42

***

Crystalline TlAsPdO at its relaxed geometry. Source: OQMD, functional PBE.

Energy relative to the lowest polymorph listed for this composition, meV/atom: 3
Final energy, eV/atom: -4.5457

Cell lengths 3.5572, 6.9639, 6.2276 Å; angles 90.00, 90.00, 90.00 degrees
With the nearest neighbours (Å) after each atom.
Positions (direct):
Tl (0.0000, 0.0891, 0.4534)  2 O 2.38
Tl (0.0000, 0.9109, 0.9534)  2 O 2.38
O (0.5000, 0.2960, 0.3493)  2 Pd 2.09-2.13
O (0.5000, 0.7040, 0.8493)  2 Pd 2.09-2.13
Pd (0.5000, 0.5058, 0.5981)  2 O 2.09-2.13
Pd (0.5000, 0.4942, 0.0981)  2 O 2.09-2.13
As (0.0000, 0.3341, 0.8532)  4 Pd 2.60-2.67
As (0.0000, 0.6659, 0.3532)  4 Pd 2.60-2.67